1.
Density functional theory data (SCAN) for Ba2SrCd at its PBEsol-relaxed geometry.

abc: 4.148 4.148 10.466
angles: 90.00 90.00 90.00
Space group P4mm (No. 99)
One atom of each set of equivalent atoms:
Ba (0.000, 0.000, 0.000) (multiplicity 1)
Ba (0.500, 0.500, 0.328) (multiplicity 1)
Sr (0.500, 0.500, 0.694) (multiplicity 1)
Cd (0.000, 0.000, 0.523) (multiplicity 1)

- M_tot: 0.052 μB per atom
- Energy of formation: -187 meV per atom
- DFT total energy: -33.13 eV/atom

***

2.
Density functional theory data (SCAN) for CdSbBr4 at its PBEsol-relaxed geometry.

abc: 8.624 8.624 8.624
angles: 90.00 90.00 90.00
Space group F-43m (No. 216)
One atom of each set of equivalent atoms:
Cd (0.000, 0.000, 0.000) (multiplicity 4)
Sb (0.250, 0.250, 0.750) (multiplicity 4)
Br (0.125, 0.125, 0.375) (multiplicity 16)

- M_tot: 0.000 μB per atom
- Raw formation energy: 632 meV/atom
- DFT total energy: -23.62 eV/atom

***

3.
Density functional theory data (SCAN) for CdGaMo3 at its PBEsol-relaxed geometry.

abc: 4.566 4.566 4.566
angles: 90.00 90.00 90.00
Space group Pm-3m (No. 221)
One atom of each set of equivalent atoms:
Cd (0.000, 0.000, 0.000) (multiplicity 1)
Ga (0.500, 0.500, 0.500) (multiplicity 1)
Mo (0.000, 0.500, 0.500) (multiplicity 3)

- M_tot: 0.000 μB per atom
- Energy of formation: 1487 meV per atom
- DFT total energy: -28.80 eV/atom

***

4.
Density functional theory data (SCAN) for LiLaBe2 at its PBEsol-relaxed geometry.

abc: 2.846 4.144 5.837
angles: 90.00 103.55 90.00
Space group P2/m (No. 10)
One atom of each set of equivalent atoms:
Li (0.000, 0.000, 0.000) (multiplicity 1)
La (0.500, 0.000, 0.500) (multiplicity 1)
Be (0.200, 0.500, 0.846) (multiplicity 2)

- M_tot: 0.088 μB per atom
- Energy of formation: 387 meV per atom
- DFT total energy: -13.16 eV/atom